First-principles (PBE) data for an optimized crystal structure of Na2CuI2F2, as listed in Alexandria via LeMat-Bulk.

Cell lengths 9.1598, 9.1598, 9.1598 Å; angles 153.04, 153.04, 38.50 degrees
Last column: nearest neighbours and their distance in Å.
Fractional positions:
Na 0.0909 0.0909 0.0000  4 F 2.65
Na 0.9091 0.9091 0.0000  4 F 2.65
Cu 0.5000 0.5000 0.0000  4 F 2.14
I 0.3440 0.3440 0.0000  1 Cu 2.70
I 0.6560 0.6560 0.0000  1 Cu 2.70
F 0.0000 0.5000 0.5000  2 Cu 2.14
F 0.5000 0.0000 0.5000  2 Cu 2.14

Summary:
- uncorrected energy (eV/atom) = -3.35
- magnetic moment (μB per cell) = 0.68
- raw formation energy (eV per atom) = -1.41